Entry 1:
First-principles (meta-GGA SCAN) data for a PBEsol-optimized structure of TlTeIr2I, as listed in Alexandria.

Geometry as POSCAR:
```
TlTeIr2I
1.0
4.843 0.000 0.000
0.000 4.843 0.000
0.000 0.000 5.966
Tl Te Ir I
1 1 2 1
Cartesian
0.000 0.000 0.000
2.421 2.421 0.000
0.000 2.421 2.983
2.421 0.000 2.983
2.421 2.421 2.983
```

Properties
- total moment (μB/f.u.) = 2.19
- crystal system = tetragonal
- E (eV/atom) = -56.10
- E_form (uncorrected) (eV per atom) = 1.607



Entry 2:
First-principles (meta-GGA SCAN) data for a PBEsol-optimized structure of Li2TeMo, as listed in Alexandria.

Geometry as POSCAR:
```
Li2TeMo
1.0
1.709 -2.501 0.000
1.709 2.501 0.000
0.000 0.000 9.262
Li Te Mo
2 1 1
Cartesian
0.000 0.000 0.000
1.709 0.000 2.547
1.709 0.000 6.824
0.000 0.000 4.768
```

Properties
- total moment (μB/f.u.) = 0.09
- crystal system = orthorhombic
- E (eV/atom) = -18.82
- E_form (uncorrected) (eV per atom) = 0.405



Entry 3:
First-principles (meta-GGA SCAN) data for a PBEsol-optimized structure of Y2W2Se, as listed in Alexandria.

Geometry as POSCAR:
```
Y2W2Se
1.0
-1.815 1.815 8.505
1.815 -1.815 8.505
1.815 1.815 -8.505
Y W Se
2 2 1
Cartesian
0.000 0.000 1.770
0.000 0.000 15.240
1.815 0.000 4.253
0.000 1.815 4.253
0.000 0.000 8.505
```

Properties
- total moment (μB/f.u.) = 0.00
- crystal system = tetragonal
- E (eV/atom) = -43.32
- E_form (uncorrected) (eV per atom) = -0.292



Entry 4:
First-principles (meta-GGA SCAN) data for a PBEsol-optimized structure of Be2Rh, as listed in Alexandria.

Geometry as POSCAR:
```
Be2Rh
1.0
1.392 -5.746 0.000
1.392 5.746 0.000
0.000 0.000 3.641
Be Rh
4 2
Cartesian
1.392 4.973 2.731
1.392 2.688 0.910
1.392 -2.688 2.731
1.392 -4.973 0.910
1.392 1.156 2.731
1.392 -1.156 0.910
```

Properties
- total moment (μB/f.u.) = 0.00
- crystal system = orthorhombic
- E (eV/atom) = -14.89
- DFT formation energy (eV per formula unit) = -2.2



Entry 5:
First-principles (meta-GGA SCAN) data for a PBEsol-optimized structure of Zr2CdOs, as listed in Alexandria.

Geometry as POSCAR:
```
Zr2CdOs
1.0
3.231 0.000 0.000
0.000 3.231 0.000
0.000 0.000 7.271
Zr Cd Os
2 1 1
Cartesian
0.000 0.000 1.622
0.000 0.000 5.649
1.615 1.615 3.635
1.615 1.615 0.000
```

Properties
- total moment (μB/f.u.) = 0.00
- crystal system = tetragonal
- E (eV/atom) = -41.37
- DFT formation energy (eV per formula unit) = -1.8



Entry 6:
First-principles (meta-GGA SCAN) data for a PBEsol-optimized structure of B2WI, as listed in Alexandria.

Geometry as POSCAR:
```
B2WI
1.0
0.000 2.958 2.958
2.958 0.000 2.958
2.958 2.958 0.000
B W I
2 1 1
Cartesian
1.479 1.479 1.479
4.438 4.438 4.438
0.000 0.000 0.000
2.958 2.958 2.958
```

Properties
- total moment (μB/f.u.) = 0.00
- crystal system = cubic
- E (eV/atom) = -28.16
- E_form (uncorrected) (eV per atom) = 2.167



Entry 7:
First-principles (meta-GGA SCAN) data for a PBEsol-optimized structure of PtW2Se, as listed in Alexandria.

Geometry as POSCAR:
```
PtW2Se
1.0
-1.471 2.273 4.597
1.471 -2.273 4.597
1.471 2.273 -4.597
Pt W Se
1 2 1
Cartesian
0.000 0.000 0.000
0.000 0.000 4.243
0.000 2.273 2.191
1.471 0.000 2.219
```

Properties
- total moment (μB/f.u.) = 0.00
- crystal system = orthorhombic
- E (eV/atom) = -57.05
- E_form (uncorrected) (eV per atom) = 0.364



Entry 8:
First-principles (meta-GGA SCAN) data for a PBEsol-optimized structure of HfBeSbC2, as listed in Alexandria.

Geometry as POSCAR:
```
HfBeSbC2
1.0
4.227 0.000 0.000
0.000 4.227 0.000
0.000 0.000 4.288
Hf Be Sb C
1 1 1 2
Cartesian
0.000 0.000 0.000
2.113 2.113 0.000
2.113 2.113 2.144
0.000 2.113 2.144
2.113 0.000 2.144
```

Properties
- total moment (μB/f.u.) = 0.00
- crystal system = tetragonal
- E (eV/atom) = -22.65
- E_form (uncorrected) (eV per atom) = 2.251



Entry 9:
First-principles (meta-GGA SCAN) data for a PBEsol-optimized structure of TaFeMo2, as listed in Alexandria.

Geometry as POSCAR:
```
TaFeMo2
1.0
2.654 -4.411 0.000
2.654 4.411 0.000
-0.891 0.000 2.531
Ta Fe Mo
1 1 2
Cartesian
0.000 0.000 0.000
2.654 0.000 0.000
0.881 2.206 1.265
0.881 -2.206 1.265
```

Properties
- total moment (μB/f.u.) = 2.07
- crystal system = monoclinic
- E (eV/atom) = -38.58
- DFT formation energy (eV per formula unit) = 0.2



Entry 10:
First-principles (meta-GGA SCAN) data for a PBEsol-optimized structure of NbSe4, as listed in Alexandria.

Geometry as POSCAR:
```
NbSe4
1.0
5.869 0.000 0.000
0.000 5.869 0.000
0.000 0.000 6.363
Nb Se
2 8
Cartesian
0.000 0.000 1.591
0.000 0.000 4.772
0.823 1.982 0.000
0.823 3.887 3.182
1.982 0.823 3.182
1.982 5.046 0.000
3.887 0.823 0.000
3.887 5.046 3.182
5.046 1.982 3.182
5.046 3.887 0.000
```

Properties
- total moment (μB/f.u.) = 0.00
- crystal system = tetragonal
- E (eV/atom) = -23.27
- E_form (uncorrected) (eV per atom) = -0.577



Entry 11:
First-principles (meta-GGA SCAN) data for a PBEsol-optimized structure of CdHg2W, as listed in Alexandria.

Geometry as POSCAR:
```
CdHg2W
1.0
5.212 0.000 0.000
0.000 2.909 0.000
-2.089 0.000 4.939
Cd Hg W
1 2 1
Cartesian
0.000 0.000 0.000
1.561 0.000 2.470
2.606 1.455 0.000
-1.045 1.455 2.470
```

Properties
- total moment (μB/f.u.) = 0.00
- crystal system = monoclinic
- E (eV/atom) = -58.51
- DFT formation energy (eV per formula unit) = 2.4



Entry 12:
First-principles (meta-GGA SCAN) data for a PBEsol-optimized structure of RbTiFe2, as listed in Alexandria.

Geometry as POSCAR:
```
RbTiFe2
1.0
0.000 3.280 3.280
3.280 0.000 3.280
3.280 3.280 0.000
Rb Ti Fe
1 1 2
Cartesian
0.000 0.000 0.000
3.280 3.280 3.280
1.640 1.640 1.640
4.921 4.921 4.921
```

Properties
- total moment (μB/f.u.) = 3.31
- crystal system = cubic
- E (eV/atom) = -16.85
- DFT formation energy (eV per formula unit) = 5.6



Entry 13:
First-principles (meta-GGA SCAN) data for a PBEsol-optimized structure of K2NiF4, as listed in Alexandria.

Geometry as POSCAR:
```
K2NiF4
1.0
-1.995 1.995 6.467
1.995 -1.995 6.467
1.995 1.995 -6.467
K Ni F
2 1 4
Cartesian
0.000 0.000 1.873
0.000 0.000 11.062
0.000 0.000 6.467
1.995 0.000 0.000
0.000 0.000 4.472
0.000 1.995 0.000
0.000 0.000 8.463
```

Properties
- total moment (μB/f.u.) = 1.93
- crystal system = tetragonal
- E (eV/atom) = -9.46
- E_form (uncorrected) (eV per atom) = -2.742



Entry 14:
First-principles (meta-GGA SCAN) data for a PBEsol-optimized structure of BaScAg2, as listed in Alexandria.

Geometry as POSCAR:
```
BaScAg2
1.0
3.568 0.000 0.000
0.000 3.568 0.000
0.000 0.000 7.720
Ba Sc Ag
1 1 2
Cartesian
0.000 0.000 0.000
0.000 0.000 3.860
1.784 1.784 2.416
1.784 1.784 5.304
```

Properties
- total moment (μB/f.u.) = 0.00
- crystal system = tetragonal
- E (eV/atom) = -29.34
- DFT formation energy (eV per formula unit) = -0.8



Entry 15:
First-principles (meta-GGA SCAN) data for a PBEsol-optimized structure of Re2PtAu, as listed in Alexandria.

Geometry as POSCAR:
```
Re2PtAu
1.0
0.000 3.134 3.134
3.134 0.000 3.134
3.134 3.134 0.000
Re Pt Au
2 1 1
Cartesian
0.000 0.000 0.000
1.567 1.567 1.567
3.134 3.134 3.134
4.701 4.701 4.701
```

Properties
- total moment (μB/f.u.) = 0.01
- crystal system = cubic
- E (eV/atom) = -69.83
- DFT formation energy (eV per formula unit) = 2.2



Entry 16:
First-principles (meta-GGA SCAN) data for a PBEsol-optimized structure of CaY2Al2, as listed in Alexandria.

Geometry as POSCAR:
```
CaY2Al2
1.0
8.323 0.000 0.000
0.000 8.323 0.000
0.000 0.000 3.772
Ca Y Al
2 4 4
Cartesian
0.000 0.000 0.000
4.162 4.162 0.000
1.474 2.688 1.886
2.688 6.850 1.886
5.635 1.474 1.886
6.850 5.635 1.886
0.970 5.132 0.000
3.192 0.970 0.000
5.132 7.353 0.000
7.353 3.192 0.000
```

Properties
- total moment (μB/f.u.) = 0.84
- crystal system = tetragonal
- E (eV/atom) = -16.50
- DFT formation energy (eV per formula unit) = -1.6



Entry 17:
First-principles (meta-GGA SCAN) data for a PBEsol-optimized structure of Ta2ZnCu, as listed in Alexandria.

Geometry as POSCAR:
```
Ta2ZnCu
1.0
2.775 0.000 0.000
0.000 2.775 0.000
0.000 0.000 7.831
Ta Zn Cu
2 1 1
Cartesian
0.000 0.000 0.000
1.388 1.388 2.308
0.000 0.000 4.331
1.388 1.388 5.927
```

Properties
- total moment (μB/f.u.) = 0.00
- crystal system = tetragonal
- E (eV/atom) = -40.49
- DFT formation energy (eV per formula unit) = -0.1



Entry 18:
First-principles (meta-GGA SCAN) data for a PBEsol-optimized structure of LiCrTc2, as listed in Alexandria.

Geometry as POSCAR:
```
LiCrTc2
1.0
2.604 0.000 0.000
0.000 2.604 0.000
0.000 0.000 8.146
Li Cr Tc
1 1 2
Cartesian
0.000 0.000 0.000
1.302 1.302 5.934
0.000 0.000 4.148
1.302 1.302 2.175
```

Properties
- total moment (μB/f.u.) = 0.00
- crystal system = tetragonal
- E (eV/atom) = -22.26
- DFT formation energy (eV per formula unit) = 1.9



Entry 19:
First-principles (meta-GGA SCAN) data for a PBEsol-optimized structure of CuSbPb, as listed in Alexandria.

Geometry as POSCAR:
```
CuSbPb
1.0
4.297 0.000 0.000
-2.148 3.721 0.000
0.000 0.000 4.550
Cu Sb Pb
1 1 1
Cartesian
0.000 0.000 0.000
0.000 2.481 0.546
2.148 1.240 2.883
```

Properties
- total moment (μB/f.u.) = 0.00
- crystal system = trigonal
- E (eV/atom) = -42.68
- E_form (uncorrected) (eV per atom) = 0.068



Entry 20:
First-principles (meta-GGA SCAN) data for a PBEsol-optimized structure of Na3Hg2, as listed in Alexandria.

Geometry as POSCAR:
```
Na3Hg2
1.0
8.667 0.000 0.000
0.000 8.667 0.000
0.000 0.000 7.083
Na Hg
12 8
Cartesian
0.000 4.333 0.000
0.000 4.333 3.541
1.202 1.202 0.000
1.612 1.612 3.541
2.721 5.946 0.000
3.131 5.536 3.541
4.333 0.000 0.000
4.333 0.000 3.541
5.536 3.131 3.541
5.946 2.721 0.000
7.054 7.054 3.541
7.464 7.464 0.000
1.137 7.530 2.088
1.137 7.530 4.995
3.196 3.196 1.453
3.196 3.196 5.629
5.470 5.470 1.453
5.470 5.470 5.629
7.530 1.137 2.088
7.530 1.137 4.995
```

Properties
- total moment (μB/f.u.) = 0.00
- crystal system = tetragonal
- E (eV/atom) = -30.04
- DFT formation energy (eV per formula unit) = -1.2